Computed, not measured: a relaxed structure of La3SnRu at the PBE level of DFT.

Cell lengths 13.1143, 14.0802, 6.5851 Å; angles 90.00, 104.20, 90.00 degrees
Closest atoms and distances in Å follow each position.
Space group C2/c (No. 15)
Inequivalent atoms, fractional coordinates:
La1 0.1014 0.1938 0.0733 [8 per cell]  2 Ru 3.19-3.41, 2 Sn 3.49-3.57
La2 0.1154 0.4438 0.9798 [8 per cell]  2 Ru 2.70-2.97
La3 0.1566 0.0727 0.5871 [8 per cell]  2 Ru 2.75-2.83
Sn1 0.1415 0.3070 0.5847 [8 per cell]  1 Ru 2.78
Ru1 0.0000 0.0158 0.2500 [4 per cell]  4 La 2.75-2.83
Ru2 0.0000 0.3916 0.2500 [4 per cell]  4 La 2.70-2.97, 2 Sn 2.78

ΔE to the lowest computed polymorph: 0.36 eV/f.u.
formation energy: -42.7 kJ/mol of atoms
energy: -6.055 eV/atom